# CePaPd6 | Alexandria via LeMat-Bulk | PBE | relaxed
data_CePaPd6
_cell_length_a 4.167
_cell_length_b 4.167
_cell_length_c 8.344
_cell_angle_alpha 90.00
_cell_angle_beta 90.00
_cell_angle_gamma 90.00
_symmetry_space_group_name_H-M 'P 1'
_symmetry_Int_Tables_number 1
_symmetry_space_group_name_Hall 'P 1'
loop_
_atom_site_label
_atom_site_type_symbol
_atom_site_fract_x
_atom_site_fract_y
_atom_site_fract_z
Ce1 Ce 0.000 0.000 0.500
Pd1 Pd 0.500 0.500 0.000
Pd2 Pd 0.500 0.500 0.500
Pd3 Pd 0.500 0.000 0.243
Pd4 Pd 0.000 0.500 0.243
Pd5 Pd 0.000 0.500 0.757
Pd6 Pd 0.500 0.000 0.757
Pa1 Pa 0.000 0.000 0.000
# Energy of formation from the pure elements (eV per atom): -0.769
# Density (kg/m³): 11573
# M_tot (μB/cell): 1.19